Record 1
Material: Nd5SmDy2Er
Method: DFT, GGA-PBE
State: relaxed

N(E_F): 28.49 states/eV/cell
total energy: -82.09 eV for the cell shown
space group: No. 36
formation energy from the elements: 142.4 meV/atom

Unit cell a=10.6164 b=10.6164 c=10.7412 alpha=90.00 beta=90.00 gamma=149.07
Fractional positions:
Nd: 0.0159 0.9841 0.5000
Nd: 0.2805 0.7195 0.7902
Nd: 0.2967 0.7033 0.1847
Nd: 0.3887 0.6113 0.5037
Nd: 0.4814 0.5186 0.2238
Nd: 0.5186 0.4814 0.7238
Nd: 0.6113 0.3887 0.0037
Nd: 0.7033 0.2967 0.6847
Nd: 0.7195 0.2805 0.2902
Nd: 0.9841 0.0159 0.0000
Sm: 0.2002 0.7998 0.4898
Sm: 0.7998 0.2002 0.9898
Dy: 0.1112 0.8888 0.2185
Dy: 0.1157 0.8843 0.7938
Dy: 0.8843 0.1157 0.2938
Dy: 0.8888 0.1112 0.7185
Er: 0.4088 0.5912 0.9413
Er: 0.5912 0.4088 0.4413



Record 2
Material: Nd3Sm6Dy2Er
Method: DFT, GGA-PBE
State: relaxed

N(E_F): 16.46 states/eV/cell
total energy: -56.19 eV for the cell shown
space group: No. 12
formation energy from the elements: 16.2 meV/atom

Unit cell a=6.2694 b=6.2694 c=11.9815 alpha=95.00 beta=95.00 gamma=120.00
Fractional positions:
Nd: 0.0000 0.0000 0.0000
Nd: 0.3333 0.6667 0.0000
Nd: 0.6667 0.3333 0.0000
Sm: 0.0847 0.4178 0.2543
Sm: 0.2492 0.2492 0.7458
Sm: 0.4178 0.0847 0.2543
Sm: 0.5822 0.9153 0.7457
Sm: 0.7508 0.7508 0.2542
Sm: 0.9153 0.5822 0.7457
Dy: 0.1666 0.8334 0.5000
Dy: 0.8334 0.1666 0.5000
Er: 0.5000 0.5000 0.5000



Record 3
Material: Nd5Sm2DyEr
Method: DFT, GGA-PBE
State: relaxed

N(E_F): 28.22 states/eV/cell
total energy: -79.73 eV for the cell shown
space group: No. 140
formation energy from the elements: 286.6 meV/atom

Unit cell a=10.3270 b=10.3270 c=10.3270 alpha=130.55 beta=130.55 gamma=72.53
Fractional positions:
Nd: 0.0000 0.0000 0.0000
Nd: 0.0727 0.5727 0.9302
Nd: 0.1425 0.0727 0.5000
Nd: 0.3575 0.8575 0.9302
Nd: 0.4273 0.3575 0.5000
Nd: 0.5000 0.5000 0.0000
Nd: 0.5727 0.6425 0.5000
Nd: 0.6425 0.1425 0.0698
Nd: 0.8575 0.9273 0.5000
Nd: 0.9273 0.4273 0.0698
Sm: 0.1211 0.3789 0.5000
Sm: 0.3789 0.8789 0.2577
Sm: 0.6211 0.1211 0.7423
Sm: 0.8789 0.6211 0.5000
Dy: 0.2500 0.2500 0.0000
Dy: 0.7500 0.7500 0.0000
Er: 0.2500 0.7500 0.5000
Er: 0.7500 0.2500 0.5000



Record 4
Material: NdSm4DyEr2
Method: DFT, GGA-PBE
State: relaxed

N(E_F): 11.08 states/eV/cell
total energy: -37.23 eV for the cell shown
space group: No. 10
formation energy from the elements: 18.1 meV/atom

Unit cell a=6.2156 b=3.5993 c=11.8995 alpha=90.00 beta=100.10 gamma=90.00
Fractional positions:
Nd: 0.0000 0.0000 0.0000
Sm: 0.2503 0.0000 0.7490
Sm: 0.2513 0.5000 0.2530
Sm: 0.7487 0.5000 0.7470
Sm: 0.7497 0.0000 0.2510
Dy: 0.0000 0.5000 0.5000
Er: 0.5000 0.0000 0.5000
Er: 0.5000 0.5000 0.0000



Record 5
Material: NdSmDyEr
Method: DFT, GGA-PBE
State: relaxed

N(E_F): 5.60 states/eV/cell
polymorph energy (0 for the lowest one): 0 meV per atom
total energy: -18.58 eV for the cell shown
space group: No. 119
formation energy from the elements: 18.9 meV/atom

Unit cell a=6.2055 b=6.2055 c=6.2055 alpha=131.62 beta=131.62 gamma=70.82
Fractional positions:
Nd: 0.0000 0.0000 0.0000
Sm: 0.2500 0.7500 0.5000
Dy: 0.5000 0.5000 0.0000
Er: 0.7500 0.2500 0.5000



Record 6
Material: Nd2Sm2DyEr2
Method: DFT, GGA-PBE
State: relaxed

N(E_F): 9.93 states/eV/cell
total energy: -32.57 eV for the cell shown
space group: No. 12
formation energy from the elements: 19.3 meV/atom

Unit cell a=6.2315 b=6.2315 c=8.0409 alpha=97.48 beta=97.48 gamma=48.16
Fractional positions:
Nd: 0.1433 0.1433 0.4275
Nd: 0.8567 0.8567 0.5725
Sm: 0.4293 0.4293 0.2809
Sm: 0.5707 0.5707 0.7191
Dy: 0.0000 0.0000 0.0000
Er: 0.2849 0.2849 0.8603
Er: 0.7151 0.7151 0.1397